# PBE MgCuP2S6, relaxed
# Crystal system: monoclinic
data_MgCuP2S6
_space_group_name_H-M_alt 'C 1 2/c 1'
_space_group_IT_number 15
_space_group_name_Hall '-C 2yc'
_cell_length_a 12.227
_cell_length_b 10.888
_cell_length_c 7.005
_cell_angle_alpha 90.00
_cell_angle_beta 114.88
_cell_angle_gamma 90.00
loop_
_atom_site_label
_atom_site_fract_x
_atom_site_fract_y
_atom_site_fract_z
Mg1 0.000 0.121 0.250
Cu1 0.000 0.219 0.750
P1 0.198 0.425 0.206
S1 0.113 0.075 0.651
S2 0.127 0.253 0.096
S3 0.137 0.442 0.488

=====

# PBE Ho6TeAs2S3, relaxed
# Crystal system: monoclinic
data_Ho6TeAs2S3
_space_group_name_H-M_alt 'C 1 2/m 1'
_space_group_IT_number 12
_space_group_name_Hall '-C 2y'
_cell_length_a 17.577
_cell_length_b 4.024
_cell_length_c 8.102
_cell_angle_alpha 90.00
_cell_angle_beta 103.04
_cell_angle_gamma 90.00
loop_
_atom_site_label
_atom_site_fract_x
_atom_site_fract_y
_atom_site_fract_z
Ho1 0.000 0.000 0.220
Ho2 0.166 0.500 0.084
Ho3 0.177 0.500 0.589
Te1 0.000 0.500 0.500
As1 0.167 0.000 0.832
S1 0.000 0.500 0.000
S2 0.163 0.000 0.333

=====

Ordered energy relative to the elements, uncorrected results: -304 -1715; unit meV per atom.
Ordered final energy results: -177.260 -145.736; unit eV per cell.